1.
Computed, not measured: crystalline PWO5 at its relaxed geometry at the PBEsol level of DFT.

Summary:
V, Å³/cell: 351.42
Uncorrected formation energy, eV/atom: -2.03

Lattice parameters (Å, degrees): 7.023 7.023 8.927 101.46 101.46 119.67
Fractional positions:
P (0.786, 0.786, 0.572)
W (0.625, 0.875, 0.250)
O (0.362, 0.156, 0.540)
O (0.570, 0.101, 0.819)
W (0.625, 0.375, 0.250)
O (0.680, 0.649, 0.681)
O (0.844, 0.638, 0.460)
O (0.178, 0.385, 0.540)
O (0.635, 0.928, 0.040)
O (0.351, 0.320, 0.319)
P (0.036, 0.536, 0.072)
O (0.968, 0.999, 0.319)
O (0.001, 0.032, 0.681)
O (0.282, 0.751, 0.181)
O (0.406, 0.112, 0.040)
O (0.416, 0.416, 0.831)
O (0.072, 0.365, 0.960)
O (0.666, 0.166, 0.331)
O (0.899, 0.430, 0.181)
W (0.625, 0.375, 0.750)
O (0.888, 0.594, 0.960)
P (0.464, 0.964, 0.928)
O (0.834, 0.334, 0.669)
O (0.249, 0.718, 0.819)
P (0.214, 0.214, 0.428)
W (0.125, 0.375, 0.750)
O (0.615, 0.822, 0.460)
O (0.584, 0.584, 0.169)

2.
Computed, not measured: crystalline CoNi2Sb at its relaxed geometry at the PBEsol level of DFT.

Summary:
V, Å³/cell: 49.08
Uncorrected formation energy, eV/atom: -0.09

Lattice parameters (Å, degrees): 3.757 3.757 4.376 115.42 115.42 90.00
Fractional positions:
Ni (0.250, 0.750, 0.500)
Sb (0.500, 0.500, 0.000)
Ni (0.000, 0.000, 0.000)
Co (0.750, 0.250, 0.500)

3.
Computed, not measured: crystalline Be2PBr at its relaxed geometry at the PBEsol level of DFT.

Summary:
V, Å³/cell: 65.72
Uncorrected formation energy, eV/atom: 0.13

Lattice parameters (Å, degrees): 3.256 3.137 6.821 103.30 103.81 90.00
Fractional positions:
Be (0.915, 0.915, 0.830)
Br (0.523, 0.523, 0.047)
Be (0.271, 0.771, 0.542)
P (0.791, 0.291, 0.581)

4.
Computed, not measured: crystalline Na2TlAs2 at its relaxed geometry at the PBEsol level of DFT.

Summary:
V, Å³/cell: 243.67
ΔE_f, eV per atom: -0.224

Lattice parameters (Å, degrees): 4.104 7.705 7.705 90.00 90.00 90.00
Fractional positions:
Tl (0.000, 0.000, 0.000)
Tl (0.000, 0.500, 0.500)
As (0.000, 0.391, 0.891)
As (0.000, 0.609, 0.109)
Na (0.500, 0.319, 0.181)
As (0.000, 0.109, 0.391)
Na (0.500, 0.681, 0.819)
Na (0.500, 0.819, 0.319)
Na (0.500, 0.181, 0.681)
As (0.000, 0.891, 0.609)

5.
Computed, not measured: crystalline AlTcI3 at its relaxed geometry at the PBEsol level of DFT.

Summary:
V, Å³/cell: 161.05
Uncorrected formation energy, eV/atom: 0.44

Lattice parameters (Å, degrees): 5.441 5.441 5.441 90.00 90.00 90.00
Fractional positions:
I (0.500, 0.000, 0.000)
I (0.000, 0.500, 0.000)
Tc (0.000, 0.000, 0.000)
Al (0.500, 0.500, 0.500)
I (0.000, 0.000, 0.500)

6.
Computed, not measured: crystalline Mg2TaCo at its relaxed geometry at the PBEsol level of DFT.

Summary:
V, Å³/cell: 63.72
ΔE_f, eV per atom: 0.393

Lattice parameters (Å, degrees): 2.768 4.370 5.267 90.00 90.00 90.00
Fractional positions:
Ta (0.500, 0.500, 0.000)
Co (0.500, 0.500, 0.500)
Mg (0.000, 0.000, 0.262)
Mg (0.000, 0.000, 0.738)

In μB/f.u., the total magnetization values for the records above are, in order, 0.5, 0.0, 0.0, 0.0, 2.6, 0.0.